VASP calculation (PBE) on a relaxed structure of YTaCSe2.

Cell and atoms, written as extended XYZ:
```
5
Lattice="3.438 0.000 0.000 -1.719 2.978 0.000 0.000 0.000 10.523" Properties=species:S:1:pos:R:3 pbc="T T T"
Y 0.000 0.000 0.000
Ta 1.719 0.993 7.887
C 0.000 1.985 8.981
Se 0.000 0.000 6.141
Se 1.719 0.993 2.065
```

Space-group type: No. 156
Energy in eV/atom: -7.6489